# 1
Below is an optimized crystal structure of Tl3CuW, with properties calculated at the GGA-PBE level.

Unit cell a=5.1337 b=5.1337 c=5.1337 alpha=90.00 beta=90.00 gamma=90.00
With the nearest neighbours (Å) after each atom.
Fractional coordinates of all 5 atoms:
Tl 0.0000 0.5000 0.0000  2 Cu 2.57
Tl 0.0000 0.0000 0.5000  2 Cu 2.57
Tl 0.5000 0.0000 0.0000  2 Cu 2.57
Cu 0.0000 0.0000 0.0000  6 Tl 2.57
W 0.5000 0.5000 0.5000  12 Tl 3.63

- energy (eV for the cell shown) = -17.49

***

# 2
Below is an optimized crystal structure of TlCu2W, with properties calculated at the GGA-PBE level.

Unit cell a=5.5779 b=5.5779 c=5.5779 alpha=150.45 beta=127.57 gamma=61.34
With the nearest neighbours (Å) after each atom.
Fractional coordinates of all 4 atoms:
Cu 0.0152 0.0152 0.0000  2 W 2.66, 6 Cu 2.85-2.86, 2 Tl 2.92
Cu 0.4848 0.4848 0.0000  2 W 2.66, 6 Cu 2.85-2.86, 2 Tl 2.92
Tl 0.7500 0.2500 0.5000  2 Tl 2.85, 4 W 2.85, 4 Cu 2.92
W 0.2500 0.7500 0.5000  4 Cu 2.66, 2 W 2.85, 4 Tl 2.85

- energy (eV for the cell shown) = -20.52

***

# 3
Below is an optimized crystal structure of TlCu2W, with properties calculated at the GGA-PBE level.

Unit cell a=9.1772 b=9.1772 c=9.1772 alpha=18.37 beta=18.37 gamma=18.37
With the nearest neighbours (Å) after each atom.
Fractional coordinates of all 4 atoms:
Cu 0.0059 0.0059 0.0059  3 W 2.69, 6 Cu 2.93, 3 Tl 2.95
Cu 0.4941 0.4941 0.4941  3 W 2.69, 6 Cu 2.93, 3 Tl 2.95
Tl 0.2500 0.2500 0.2500  6 Tl 2.93, 6 Cu 2.95
W 0.7500 0.7500 0.7500  6 Cu 2.69, 6 W 2.93

- energy (eV for the cell shown) = -20.97